[1]
Sm6YSc3 | PBE | relaxed

POSCAR file:
```
Sm6YSc3
1.0
4.865 2.809 3.844
-4.865 2.809 3.844
0.000 -5.618 3.844
Sm Y Sc
6 1 3
Cartesian
-1.651 -2.750 3.844 Sm
-3.266 -0.001 5.763 Sm
-1.556 2.805 3.844 Sm
1.634 -2.828 5.763 Sm
3.207 -0.055 3.844 Sm
1.632 2.829 5.763 Sm
0.000 0.000 11.520 Y
0.000 0.000 2.980 Sc
0.000 0.000 5.753 Sc
0.000 0.000 8.521 Sc
```

Values from the calculation:
The offset from the most stable computed form is 48.2 meV/atom. The calculation puts the magnetic moment at 1.2 μB per formula unit. As for the space-group type: R3, No. 146. As for the energy of formation: 180 kJ/mol of formula units.

=====

[2]
Sm2YSc | PBE | relaxed

POSCAR file:
```
Sm2YSc
1.0
5.007 0.000 0.000
0.000 5.007 0.000
0.000 0.000 4.921
Sm Y Sc
2 1 1
Cartesian
0.000 2.504 0.000 Sm
2.504 0.000 0.000 Sm
0.000 0.000 2.460 Y
2.504 2.504 2.460 Sc
```

Values from the calculation:
The offset from the most stable computed form is 1.3 meV/atom. The calculation puts the magnetic moment at 0.0 μB per formula unit. As for the space-group type: P4/mmm, No. 123. As for the energy of formation: 16 kJ/mol of formula units.

=====

[3]
Sm3Y2Sc | PBE | relaxed

POSCAR file:
```
Sm3Y2Sc
1.0
8.484 -3.372 0.000
8.484 3.372 0.000
-1.195 0.000 6.681
Sm Y Sc
6 4 2
Cartesian
7.587 1.794 5.011 Sm
4.867 0.405 6.510 Sm
5.465 -0.405 3.169 Sm
10.308 0.405 3.512 Sm
10.905 -0.405 0.171 Sm
8.185 -1.794 1.670 Sm
2.214 0.459 4.163 Y
2.812 -0.459 0.822 Y
12.960 0.459 5.859 Y
13.558 -0.459 2.519 Y
8.185 1.757 1.670 Sc
7.587 -1.757 5.011 Sc
```

Values from the calculation:
The offset from the most stable computed form is 94.6 meV/atom. The calculation puts the magnetic moment at 0.0 μB per formula unit. As for the space-group type: C2/c, No. 15. As for the energy of formation: 78 kJ/mol of formula units.

=====

In the order shown, the computed energy values come out to -51.9; -22.1; -65.2 eV per cell.